Record 1
Entry from Alexandria: a relaxed Sc3Cl5 crystal (GGA-PBE).

## Properties
DFT total energy: -5.075 eV per atom
formation energy (no corrections): -1.546 eV per atom
total moment: 2.05 Bohr magnetons per cell

a b c (Å): 6.6594 7.8050 8.1616
angles (deg): 71.36 67.12 71.90
Space group P1 (No. 1)
Unique sites:
Sc 0.0000 0.0000 0.0000 x1
Sc 0.0136 0.6380 0.2810 x1
Sc 0.1742 0.3391 0.6589 x1
Sc 0.2182 0.9597 0.5885 x1
Sc 0.3241 0.2246 0.1990 x1
Sc 0.4710 0.6325 0.9490 x1
Cl 0.0599 0.3108 0.0041 x1
Cl 0.1990 0.9113 0.2768 x1
Cl 0.3708 0.6091 0.6838 x1
Cl 0.4139 0.4554 0.3189 x1
Cl 0.4229 0.9917 0.7890 x1
Cl 0.6323 0.9992 0.3415 x1
Cl 0.6441 0.2713 0.9172 x1
Cl 0.7965 0.7382 0.0484 x1
Cl 0.8884 0.6454 0.6304 x1
Cl 0.9610 0.2844 0.4686 x1

***

Record 2
Entry from Alexandria: a relaxed CaCo2SeI crystal (GGA-PBE).

## Properties
DFT total energy: -4.165 eV per atom
formation energy (no corrections): 0.085 eV per atom
total moment: 2.97 Bohr magnetons per cell

a b c (Å): 4.3995 4.3995 7.1696
angles (deg): 90.00 90.00 90.00
Space group P4/mmm (No. 123)
Unique sites:
Ca 0.0000 0.0000 0.0000 x1
Co 0.0000 0.5000 0.5000 x2
Se 0.5000 0.5000 0.5000 x1
I 0.5000 0.5000 0.0000 x1

***

Record 3
Entry from Alexandria: a relaxed CdSb2Pt crystal (GGA-PBE).

## Properties
DFT total energy: -3.850 eV per atom
formation energy (no corrections): -0.050 eV per atom
total moment: 0.00 Bohr magnetons per cell

a b c (Å): 3.5599 4.1771 13.1798
angles (deg): 90.00 90.00 90.00
Space group Imm2 (No. 44)
Unique sites:
Cd 0.0000 0.0000 0.0000 x2
Sb 0.0000 0.0000 0.6201 x2
Sb 0.0000 0.5000 0.8284 x2
Pt 0.0000 0.5000 0.2772 x2

***

Record 4
Entry from Alexandria: a relaxed Cs3NiBi crystal (GGA-PBE).

## Properties
DFT total energy: -1.937 eV per atom
formation enthalpy at 0 K: 2.5 eV/f.u.
total moment: 2.00 Bohr magnetons per cell

a b c (Å): 7.4202 7.4202 7.4202
angles (deg): 90.00 90.00 90.00
Space group Pm-3m (No. 221)
Unique sites:
Cs 0.0000 0.0000 0.5000 x3
Ni 0.5000 0.5000 0.5000 x1
Bi 0.0000 0.0000 0.0000 x1

***

Record 5
Entry from Alexandria: a relaxed K3Ce2ThS6 crystal (GGA-PBE).

## Properties
DFT total energy: -5.707 eV per atom
formation energy (no corrections): -1.762 eV per atom
total moment: 5.85 Bohr magnetons per cell

a b c (Å): 7.2531 12.5615 7.7920
angles (deg): 90.00 108.08 90.00
Space group C2/m (No. 12)
Unique sites:
K 0.0000 0.0000 0.0000 x2
K 0.0000 0.3322 0.0000 x4
Ce 0.0000 0.1666 0.5000 x4
Th 0.0000 0.5000 0.5000 x2
S 0.2330 0.3365 0.7087 x8
S 0.2428 0.0000 0.7087 x4

***

Record 6
Entry from Alexandria: a relaxed Ca2La6Er crystal (GGA-PBE).

## Properties
DFT total energy: -4.153 eV per atom
formation enthalpy at 0 K: 0.8 eV/f.u.
total moment: 0.00 Bohr magnetons per cell

a b c (Å): 10.4047 18.7261 7.0145
angles (deg): 90.00 101.86 90.00
Space group C2/c (No. 15)
Unique sites:
Ca 0.1783 0.0193 0.4208 x8
La 0.0383 0.1679 0.0182 x8
La 0.1516 0.3060 0.6695 x8
La 0.1532 0.3533 0.1654 x8
Er 0.0000 0.4745 0.7500 x4

***

Record 7
Entry from Alexandria: a relaxed Sc2IrAu crystal (GGA-PBE).

## Properties
DFT total energy: -6.903 eV per atom
formation enthalpy at 0 K: -2.8 eV/f.u.
total moment: 0.00 Bohr magnetons per cell

a b c (Å): 3.7613 4.2224 9.1650
angles (deg): 90.00 90.00 90.00
Space group Imm2 (No. 44)
Unique sites:
Sc 0.0000 0.0000 0.0000 x2
Sc 0.0000 0.5000 0.2385 x2
Ir 0.0000 0.5000 0.7283 x2
Au 0.0000 0.0000 0.4830 x2

***

Record 8
Entry from Alexandria: a relaxed K2MoRh crystal (GGA-PBE).

## Properties
DFT total energy: -4.167 eV per atom
formation enthalpy at 0 K: 3.7 eV/f.u.
total moment: 4.87 Bohr magnetons per cell

a b c (Å): 3.7912 6.0014 11.4431
angles (deg): 90.00 90.00 90.00
Space group Imm2 (No. 44)
Unique sites:
K 0.0000 0.0000 0.0000 x2
K 0.0000 0.5000 0.2021 x2
Mo 0.0000 0.5000 0.8079 x2
Rh 0.0000 0.0000 0.4307 x2

***

Record 9
Entry from Alexandria: a relaxed MgMn2Co crystal (GGA-PBE).

## Properties
DFT total energy: -6.193 eV per atom
formation enthalpy at 0 K: 2.3 eV/f.u.
total moment: 27.72 Bohr magnetons per cell

a b c (Å): 6.8482 6.8482 5.1168
angles (deg): 90.00 90.00 90.00
Space group I-42d (No. 122)
Unique sites:
Mg 0.0000 0.0000 0.0000 x4
Mn 0.2055 0.2500 0.6250 x8
Co 0.0000 0.0000 0.5000 x4

***

Record 10
Entry from Alexandria: a relaxed Yb6Ni20P13 crystal (GGA-PBE).

## Properties
DFT total energy: -5.836 eV per atom
formation enthalpy at 0 K: -32.5 eV/f.u.
total moment: 0.09 Bohr magnetons per cell

a b c (Å): 12.6850 12.6850 3.7379
angles (deg): 90.00 90.00 120.00
Space group P-6 (No. 174)
Unique sites:
Yb 0.0518 0.8548 0.0000 x3
Yb 0.5217 0.1371 0.5000 x3
Ni 0.0000 0.0000 0.5000 x1
Ni 0.0165 0.5980 0.0000 x3
Ni 0.0907 0.3476 0.5000 x3
Ni 0.1373 0.5624 0.5000 x3
Ni 0.2555 0.7391 0.0000 x3
Ni 0.3111 0.0810 0.0000 x3
Ni 0.3557 0.2494 0.5000 x3
Ni 0.6667 0.3333 0.0000 x1
P 0.0547 0.4347 0.0000 x3
P 0.0992 0.7152 0.5000 x3
P 0.1959 0.0510 0.5000 x3
P 0.3333 0.6667 0.5000 x1
P 0.4701 0.2806 0.0000 x3

***

Record 11
Entry from Alexandria: a relaxed KI3N crystal (GGA-PBE).

## Properties
DFT total energy: -1.922 eV per atom
formation energy (no corrections): 0.892 eV per atom
total moment: 5.00 Bohr magnetons per cell

a b c (Å): 6.8386 6.8386 6.8386
angles (deg): 90.00 90.00 90.00
Space group Pm-3m (No. 221)
Unique sites:
K 0.0000 0.0000 0.0000 x1
I 0.0000 0.0000 0.5000 x3
N 0.5000 0.5000 0.5000 x1

***

Record 12
Entry from Alexandria: a relaxed BaMgGa2Ge2 crystal (GGA-PBE).

## Properties
DFT total energy: -3.391 eV per atom
formation enthalpy at 0 K: -1.5 eV/f.u.
total moment: 0.00 Bohr magnetons per cell

a b c (Å): 4.3262 4.3262 9.0691
angles (deg): 90.00 90.00 120.00
Space group P-3m1 (No. 164)
Unique sites:
Ba 0.0000 0.0000 0.0000 x1
Mg 0.0000 0.0000 0.5000 x1
Ga 0.3333 0.6667 0.7434 x2
Ge 0.3333 0.6667 0.3137 x2

***

Record 13
Entry from Alexandria: a relaxed Li3Cd3In crystal (GGA-PBE).

## Properties
DFT total energy: -1.827 eV per atom
formation enthalpy at 0 K: -1.6 eV/f.u.
total moment: 0.00 Bohr magnetons per cell

a b c (Å): 8.0857 8.0857 4.8657
angles (deg): 90.00 90.00 120.00
Space group P6_3/m (No. 176)
Unique sites:
Li 0.0954 0.6242 0.2500 x6
Cd 0.0491 0.8004 0.7500 x6
In 0.3333 0.6667 0.7500 x2

***

Record 14
Entry from Alexandria: a relaxed Al2Ag crystal (GGA-PBE).

## Properties
DFT total energy: -3.410 eV per atom
formation enthalpy at 0 K: 0.1 eV/f.u.
total moment: 0.00 Bohr magnetons per cell

a b c (Å): 4.0704 12.3976 4.0526
angles (deg): 90.00 90.00 90.00
Space group Cmcm (No. 63)
Unique sites:
Al 0.0000 0.0819 0.2500 x4
Al 0.0000 0.2489 0.7500 x4
Ag 0.0000 0.4126 0.2500 x4

***

Record 15
Entry from Alexandria: a relaxed Pu6GeAu5 crystal (GGA-PBE).

## Properties
DFT total energy: -9.322 eV per atom
formation enthalpy at 0 K: -4.9 eV/f.u.
total moment: 69.66 Bohr magnetons per cell

a b c (Å): 5.4623 6.2921 16.3857
angles (deg): 90.00 90.00 90.00
Space group Immm (No. 71)
Unique sites:
Pu 0.0000 0.2451 0.0000 x4
Pu 0.0000 0.2528 0.3370 x8
Ge 0.0000 0.5000 0.5000 x2
Au 0.0000 0.0000 0.1703 x4
Au 0.0000 0.0000 0.5000 x2
Au 0.0000 0.5000 0.1678 x4

***

Record 16
Entry from Alexandria: a relaxed K2InSn6 crystal (GGA-PBE).

## Properties
DFT total energy: -3.365 eV per atom
formation enthalpy at 0 K: -1.3 eV/f.u.
total moment: 0.00 Bohr magnetons per cell

a b c (Å): 7.0422 7.0422 6.5492
angles (deg): 90.00 90.00 120.00
Space group P-3m1 (No. 164)
Unique sites:
K 0.3333 0.6667 0.1434 x2
In 0.0000 0.0000 0.0000 x1
Sn 0.1793 0.3585 0.6597 x6

***

Record 17
Entry from Alexandria: a relaxed YBe2GeRu crystal (GGA-PBE).

## Properties
DFT total energy: -3.692 eV per atom
formation enthalpy at 0 K: 9.3 eV/f.u.
total moment: 0.00 Bohr magnetons per cell

a b c (Å): 4.9568 4.9568 4.7568
angles (deg): 90.00 90.00 90.00
Space group P4/mmm (No. 123)
Unique sites:
Y 0.0000 0.0000 0.0000 x1
Be 0.0000 0.5000 0.0000 x2
Ge 0.5000 0.5000 0.5000 x1
Ru 0.0000 0.0000 0.5000 x1

***

Record 18
Entry from Alexandria: a relaxed BaY3 crystal (GGA-PBE).

## Properties
DFT total energy: -5.168 eV per atom
formation enthalpy at 0 K: 0.6 eV/f.u.
total moment: 0.00 Bohr magnetons per cell

a b c (Å): 3.7162 3.7162 36.7626
angles (deg): 90.00 90.00 120.00
Space group R-3m (No. 166, hexagonal axes)
Unique sites:
Ba 0.0000 0.0000 0.0000 x3
Y 0.0000 0.0000 0.2431 x6
Y 0.0000 0.0000 0.5000 x3

***

Record 19
Entry from Alexandria: a relaxed InNi2MoP crystal (GGA-PBE).

## Properties
DFT total energy: -5.437 eV per atom
formation enthalpy at 0 K: 3.4 eV/f.u.
total moment: 1.88 Bohr magnetons per cell

a b c (Å): 4.1169 4.1169 5.1242
angles (deg): 90.00 90.00 90.00
Space group P4/mmm (No. 123)
Unique sites:
In 0.0000 0.0000 0.0000 x1
Ni 0.0000 0.5000 0.5000 x2
Mo 0.5000 0.5000 0.0000 x1
P 0.0000 0.0000 0.5000 x1

***

Record 20
Entry from Alexandria: a relaxed La3CoPb crystal (GGA-PBE).

## Properties
DFT total energy: -5.442 eV per atom
formation enthalpy at 0 K: -1.6 eV/f.u.
total moment: 0.00 Bohr magnetons per cell

a b c (Å): 5.2207 9.2170 7.0080
angles (deg): 90.00 111.54 90.00
Space group P2_1/m (No. 11)
Unique sites:
La 0.0566 0.2500 0.1163 x2
La 0.3731 0.0602 0.7406 x4
Co 0.4518 0.7500 0.8970 x2
Pb 0.2278 0.7500 0.4623 x2